--- i ---
Crystalline AgHg2Mo at its relaxed geometry, computed with PBE.

Cell and atoms, written as POSCAR:
```
AgHg2Mo
1.0
1.482 0.856 10.266
-1.482 0.856 10.266
0.000 -1.711 10.266
Ag Hg Mo
1 2 1
Direct
0.000 0.000 0.000 Ag
0.512 0.512 0.512 Hg
0.750 0.750 0.750 Hg
0.258 0.258 0.258 Mo
```

**Space group**: R3m (160)

--- ii ---
Crystalline AgHg2Mo at its relaxed geometry, computed with PBE.

Cell and atoms, written as POSCAR:
```
AgHg2Mo
1.0
4.351 0.000 0.000
0.000 4.351 0.000
0.000 0.000 4.007
Ag Hg Mo
1 2 1
Direct
0.000 0.000 0.000 Ag
0.000 0.500 0.500 Hg
0.500 0.000 0.500 Hg
0.500 0.500 0.000 Mo
```

**Space group**: P4/mmm (123)

Stability verdict: i, ahead by 7.0 kJ/mol of atoms

--- i ---
Crystalline AgHg2Mo at its relaxed geometry, computed with PBE.

Cell and atoms, written as POSCAR:
```
AgHg2Mo
1.0
1.505 0.869 9.698
-1.505 0.869 9.698
0.000 -1.737 9.698
Ag Hg Mo
1 2 1
Direct
0.000 0.000 0.000 Ag
0.249 0.249 0.249 Hg
0.751 0.751 0.751 Hg
0.500 0.500 0.500 Mo
```

**Space group**: R-3m (166)

--- ii ---
Crystalline AgHg2Mo at its relaxed geometry, computed with PBE.

Cell and atoms, written as POSCAR:
```
AgHg2Mo
1.0
4.756 -1.455 0.000
4.756 1.455 0.000
-0.853 0.000 5.581
Ag Hg Mo
1 2 1
Direct
0.000 0.000 0.000 Ag
0.248 0.248 0.744 Hg
0.752 0.752 0.256 Hg
0.500 0.500 0.500 Mo
```

**Space group**: C2/m (12)

Stability verdict: i, ahead by 12.8 kJ/mol of atoms

--- i ---
Crystalline AgHg2Mo at its relaxed geometry, computed with PBE.

Cell and atoms, written as POSCAR:
```
AgHg2Mo
1.0
2.883 0.000 0.000
0.000 2.883 0.000
0.000 0.000 9.278
Ag Hg Mo
1 2 1
Direct
0.000 0.000 0.000 Ag
0.000 0.000 0.537 Hg
0.500 0.500 0.251 Hg
0.500 0.500 0.774 Mo
```

**Space group**: P4mm (99)

--- ii ---
Crystalline AgHg2Mo at its relaxed geometry, computed with PBE.

Cell and atoms, written as POSCAR:
```
AgHg2Mo
1.0
0.000 3.395 3.395
3.395 0.000 3.395
3.395 3.395 0.000
Ag Hg Mo
1 2 1
Direct
0.000 0.000 0.000 Ag
0.500 0.500 0.500 Hg
0.750 0.750 0.750 Hg
0.250 0.250 0.250 Mo
```

**Space group**: F-43m (216)

Stability verdict: i, ahead by 24.4 kJ/mol of atoms

--- i ---
Crystalline AgHg2Mo at its relaxed geometry, computed with PBE.

Cell and atoms, written as POSCAR:
```
AgHg2Mo
1.0
2.897 0.000 0.000
0.000 2.897 0.000
0.000 0.000 8.950
Ag Hg Mo
1 2 1
Direct
0.000 0.000 0.000 Ag
0.500 0.500 0.255 Hg
0.500 0.500 0.745 Hg
0.000 0.000 0.500 Mo
```

**Space group**: P4/mmm (123)

--- ii ---
Crystalline AgHg2Mo at its relaxed geometry, computed with PBE.

Cell and atoms, written as POSCAR:
```
AgHg2Mo
1.0
5.068 0.000 0.000
0.000 5.068 0.000
0.000 0.000 2.977
Ag Hg Mo
1 2 1
Direct
0.000 0.000 0.000 Ag
0.000 0.500 0.500 Hg
0.500 0.000 0.500 Hg
0.500 0.500 0.000 Mo
```

**Space group**: P4/mmm (123)

Stability verdict: i, ahead by 9.8 kJ/mol of atoms

--- i ---
Crystalline AgHg2Mo at its relaxed geometry, computed with PBE.

Cell and atoms, written as POSCAR:
```
AgHg2Mo
1.0
2.894 0.000 0.000
0.000 4.363 0.000
0.000 0.000 6.080
Ag Hg Mo
1 2 1
Direct
0.000 0.000 0.000 Ag
0.000 0.000 0.533 Hg
0.500 0.500 0.241 Hg
0.500 0.500 0.755 Mo
```

**Space group**: Pmm2 (25)

--- ii ---
Crystalline AgHg2Mo at its relaxed geometry, computed with PBE.

Cell and atoms, written as POSCAR:
```
AgHg2Mo
1.0
-1.426 2.575 5.358
1.426 -2.575 5.358
1.426 2.575 -5.358
Ag Hg Mo
1 2 1
Direct
0.000 0.000 0.000 Ag
0.260 0.760 0.500 Hg
0.527 0.527 0.000 Hg
0.765 0.265 0.500 Mo
```

**Space group**: Imm2 (44)

--- iii ---
Crystalline AgHg2Mo at its relaxed geometry, computed with PBE.

Cell and atoms, written as POSCAR:
```
AgHg2Mo
1.0
0.000 3.387 3.387
3.387 0.000 3.387
3.387 3.387 0.000
Ag Hg Mo
1 2 1
Direct
0.000 0.000 0.000 Ag
0.250 0.250 0.250 Hg
0.750 0.750 0.750 Hg
0.500 0.500 0.500 Mo
```

**Space group**: Fm-3m (225)

Stability verdict: ii, ahead by 1.8 kJ/mol of atoms

--- i ---
Crystalline AgHg2Mo at its relaxed geometry, computed with PBE.

Cell and atoms, written as POSCAR:
```
AgHg2Mo
1.0
-2.088 2.088 9.967
2.088 -2.088 9.967
2.088 2.088 -9.967
Ag Hg Mo
2 4 2
Direct
0.000 0.000 0.000 Ag
0.750 0.250 0.500 Ag
0.125 0.625 0.000 Hg
0.375 0.375 0.500 Hg
0.625 0.125 0.000 Hg
0.875 0.875 0.500 Hg
0.250 0.750 0.500 Mo
0.500 0.500 0.000 Mo
```

**Space group**: I-42d (122)

--- ii ---
Crystalline AgHg2Mo at its relaxed geometry, computed with PBE.

Cell and atoms, written as POSCAR:
```
AgHg2Mo
1.0
-2.179 2.179 4.126
2.179 -2.179 4.126
2.179 2.179 -4.126
Ag Hg Mo
1 2 1
Direct
0.000 0.000 0.000 Ag
0.250 0.750 0.500 Hg
0.500 0.500 0.000 Hg
0.750 0.250 0.500 Mo
```

**Space group**: I-4m2 (119)

Stability verdict: ii, ahead by 19.2 kJ/mol of atoms

--- i ---
Crystalline AgHg2Mo at its relaxed geometry, computed with PBE.

Cell and atoms, written as POSCAR:
```
AgHg2Mo
1.0
3.097 -4.350 0.000
3.097 4.350 0.000
0.000 0.000 2.815
Ag Hg Mo
1 2 1
Direct
0.000 0.000 0.000 Ag
0.000 0.500 0.500 Hg
0.500 0.000 0.500 Hg
0.500 0.500 0.000 Mo
```

**Space group**: Cmmm (65)

--- ii ---
Crystalline AgHg2Mo at its relaxed geometry, computed with PBE.

Cell and atoms, written as POSCAR:
```
AgHg2Mo
1.0
-1.457 2.688 5.027
1.457 -2.688 5.027
1.457 2.688 -5.027
Ag Hg Mo
1 2 1
Direct
0.000 0.000 0.000 Ag
0.251 0.751 0.500 Hg
0.749 0.249 0.500 Hg
0.500 0.500 0.000 Mo
```

**Space group**: Immm (71)

--- iii ---
Crystalline AgHg2Mo at its relaxed geometry, computed with PBE.

Cell and atoms, written as POSCAR:
```
AgHg2Mo
1.0
2.890 0.000 0.000
0.000 4.215 0.000
-0.024 0.000 6.275
Ag Hg Mo
1 2 1
Direct
0.000 0.000 0.000 Ag
0.499 0.500 0.258 Hg
0.501 0.500 0.742 Hg
0.000 0.000 0.500 Mo
```

**Space group**: P2/m (10)

Stability verdict: i, ahead by 6.6 kJ/mol of atoms

--- i ---
Crystalline AgHgMo3 at its relaxed geometry, computed with PBE.

Cell and atoms, written as POSCAR:
```
AgHgMo3
1.0
4.934 0.000 0.000
0.000 4.934 0.000
0.000 0.000 4.934
Ag Hg Mo
1 1 3
Direct
0.000 0.000 0.000 Ag
0.500 0.500 0.500 Hg
0.000 0.500 0.500 Mo
0.500 0.000 0.500 Mo
0.500 0.500 0.000 Mo
```

**Space group**: Pm-3m (221)

--- ii ---
Crystalline AgHgMo3 at its relaxed geometry, computed with PBE.

Cell and atoms, written as POSCAR:
```
AgHgMo3
1.0
4.810 0.000 0.000
0.000 4.810 0.000
0.000 0.000 4.810
Ag Hg Mo
1 1 3
Direct
0.000 0.000 0.000 Ag
0.500 0.500 0.500 Hg
0.000 0.000 0.500 Mo
0.000 0.500 0.000 Mo
0.500 0.000 0.000 Mo
```

**Space group**: Pm-3m (221)

Stability verdict: ii, ahead by 27.2 kJ/mol of atoms